MgAlBi2 | PBE | relaxed

Calculated values
**Excess energy over the best structure of this formula in the dataset**: 0.052 eV/atom
**Mass density**: 7454 kg/m3
**Fermi-level density of states**: 2.2 states/eV/f.u.
**Spin magnetization**: 0.000 μB/cell
**ΔE_f**: 0.13 eV per atom
**E_tot**: -12.59 eV per formula unit

Cell and atoms, written as POSCAR:
```
MgAlBi2
1.0
7.4777 0.0000 0.0000
0.0000 7.4777 0.0000
0.0000 0.0000 7.4777
Mg Al Bi
4 4 8
direct
0.0000 0.0000 0.0000
0.0000 0.5000 0.5000
0.5000 0.0000 0.5000
0.5000 0.5000 0.0000
0.0000 0.0000 0.5000
0.0000 0.5000 0.0000
0.5000 0.0000 0.0000
0.5000 0.5000 0.5000
0.2500 0.2500 0.2500
0.2500 0.2500 0.7500
0.2500 0.7500 0.2500
0.2500 0.7500 0.7500
0.7500 0.2500 0.2500
0.7500 0.2500 0.7500
0.7500 0.7500 0.2500
0.7500 0.7500 0.7500
```